{
  "formula": "Na3ReAs",
  "functional": "meta-GGA SCAN",
  "state": "single point on PBEsol structure",
  "cell": [[5.428, 0.000, 0.000], [0.000, 5.428, 0.000], [0.000, 0.000, 5.428]],
  "species": ["Re", "As", "Na", "Na", "Na"],
  "frac_coords": [[0.500, 0.500, 0.500], [0.000, 0.000, 0.000], [0.000, 0.500, 0.000], [0.000, 0.000, 0.500], [0.500, 0.000, 0.000]],
  "ef_mev_per_atom": 1153
}



{
  "formula": "NaRe3As",
  "functional": "meta-GGA SCAN",
  "state": "single point on PBEsol structure",
  "cell": [[4.564, 0.000, 0.000], [0.000, 4.564, 0.000], [0.000, 0.000, 4.564]],
  "species": ["Re", "Re", "Re", "As", "Na"],
  "frac_coords": [[0.000, 0.500, 0.000], [0.000, 0.000, 0.500], [0.500, 0.000, 0.000], [0.000, 0.000, 0.000], [0.500, 0.500, 0.500]],
  "ef_mev_per_atom": 1733
}



{
  "formula": "Na2As2Rh",
  "functional": "meta-GGA SCAN",
  "state": "single point on PBEsol structure",
  "cell": [[4.857, 0.000, 0.000], [0.000, 6.257, 0.000], [0.000, 0.000, 6.257]],
  "species": ["Na", "Na", "Na", "Na", "As", "As", "As", "As", "Rh", "Rh"],
  "frac_coords": [[0.500, 0.179, 0.679], [0.500, 0.679, 0.821], [0.500, 0.821, 0.321], [0.500, 0.321, 0.179], [0.000, 0.361, 0.861], [0.000, 0.861, 0.639], [0.000, 0.639, 0.139], [0.000, 0.139, 0.361], [0.000, 0.000, 0.000], [0.000, 0.500, 0.500]],
  "ef_mev_per_atom": -591
}



{
  "formula": "Na2AsRh2",
  "functional": "meta-GGA SCAN",
  "state": "single point on PBEsol structure",
  "cell": [[4.928, 0.000, 0.000], [0.000, 6.099, 0.000], [0.000, 0.000, 6.099]],
  "species": ["Na", "Na", "Na", "Na", "As", "As", "Rh", "Rh", "Rh", "Rh"],
  "frac_coords": [[0.500, 0.169, 0.669], [0.500, 0.669, 0.831], [0.500, 0.831, 0.331], [0.500, 0.331, 0.169], [0.000, 0.000, 0.000], [0.000, 0.500, 0.500], [0.000, 0.352, 0.852], [0.000, 0.852, 0.648], [0.000, 0.648, 0.148], [0.000, 0.148, 0.352]],
  "ef_mev_per_atom": -356
}



{
  "formula": "NaAsRh3",
  "functional": "meta-GGA SCAN",
  "state": "single point on PBEsol structure",
  "cell": [[-4.130, 0.775, -1.689], [-1.851, -2.084, 3.569], [-0.166, 3.945, 2.218]],
  "species": ["Na", "As", "Rh", "Rh", "Rh"],
  "frac_coords": [[0.500, 0.500, 0.500], [0.000, 0.000, 0.000], [0.000, 0.500, 0.000], [0.000, 0.000, 0.500], [0.500, 0.000, 0.000]],
  "ef_mev_per_atom": 196
}



{
  "formula": "NaTcAsRh2",
  "functional": "meta-GGA SCAN",
  "state": "single point on PBEsol structure",
  "cell": [[-1.007, -4.194, -0.634], [4.119, -1.122, 0.883], [-1.046, -0.408, 4.361]],
  "species": ["Na", "As", "Rh", "Rh", "Tc"],
  "frac_coords": [[0.000, 0.000, 0.000], [0.000, 0.000, 0.500], [0.000, 0.500, 0.000], [0.500, 0.000, 0.000], [0.500, 0.500, 0.500]],
  "ef_mev_per_atom": 1835
}



{
  "formula": "NaAs2Ru",
  "functional": "meta-GGA SCAN",
  "state": "single point on PBEsol structure",
  "cell": [[6.414, 0.000, 0.000], [-3.207, 6.013, 0.054], [0.000, 3.371, 5.456]],
  "species": ["Ru", "Ru", "As", "As", "As", "As", "Na", "Na"],
  "frac_coords": [[0.750, 0.500, 0.750], [0.000, 0.000, 0.000], [0.710, 0.750, 0.375], [0.040, 0.750, 0.875], [0.875, 0.250, 0.710], [0.375, 0.250, 0.040], [0.250, 0.500, 0.250], [0.500, 0.000, 0.500]],
  "ef_mev_per_atom": -78
}



{
  "formula": "NaAs2Ru",
  "functional": "meta-GGA SCAN",
  "state": "single point on PBEsol structure",
  "cell": [[-2.332, 3.707, 0.665], [-1.078, 1.230, 4.117], [1.938, 3.536, 1.834]],
  "species": ["Ru", "As", "As", "Na"],
  "frac_coords": [[0.500, 0.500, 0.500], [0.250, 0.250, 0.250], [0.750, 0.750, 0.750], [0.000, 0.000, 0.000]],
  "ef_mev_per_atom": -85
}



{
  "formula": "NaAsSe2S",
  "functional": "meta-GGA SCAN",
  "state": "single point on PBEsol structure",
  "cell": [[4.874, 0.000, 0.000], [0.000, 4.874, 0.000], [0.000, 0.000, 5.038]],
  "species": ["Na", "As", "S", "Se", "Se"],
  "frac_coords": [[0.000, 0.000, 0.000], [0.000, 0.000, 0.500], [0.500, 0.500, 0.500], [0.000, 0.500, 0.000], [0.500, 0.000, 0.000]],
  "e_form_raw_kj_per_mol_atoms": 120
}



{
  "formula": "Na2SbAs2",
  "functional": "meta-GGA SCAN",
  "state": "single point on PBEsol structure",
  "cell": [[4.487, 0.000, 0.000], [0.000, 4.487, 0.000], [-2.244, -2.244, 5.840]],
  "species": ["Sb", "As", "As", "Na", "Na"],
  "frac_coords": [[0.000, 0.000, 0.000], [0.401, 0.401, 0.801], [0.599, 0.599, 0.199], [0.250, 0.750, 0.500], [0.750, 0.250, 0.500]],
  "e_form_raw_kj_per_mol_atoms": 0
}



{
  "formula": "NaSb3As",
  "functional": "meta-GGA SCAN",
  "state": "single point on PBEsol structure",
  "cell": [[5.417, 0.000, 0.000], [0.000, 5.417, 0.000], [0.000, 0.000, 5.417]],
  "species": ["Sb", "Sb", "Sb", "As", "Na"],
  "frac_coords": [[0.000, 0.500, 0.000], [0.000, 0.000, 0.500], [0.500, 0.000, 0.000], [0.000, 0.000, 0.000], [0.500, 0.500, 0.500]],
  "e_form_raw_kj_per_mol_atoms": 40
}



{
  "formula": "Na2AsSe",
  "functional": "meta-GGA SCAN",
  "state": "single point on PBEsol structure",
  "cell": [[-4.921, -2.416, -0.472], [-2.780, -1.663, 5.430], [-4.987, 3.886, 0.031]],
  "species": ["Na", "Na", "Na", "Na", "As", "As", "Se", "Se"],
  "frac_coords": [[0.112, 0.013, 0.513], [0.638, 0.987, 0.487], [0.375, 0.513, 0.987], [0.875, 0.487, 0.013], [0.250, 0.500, 0.500], [0.500, 0.000, 0.000], [0.750, 0.500, 0.500], [0.000, 0.000, 0.000]],
  "e_form_raw_kj_per_mol_atoms": -39
}



{
  "formula": "NaAsSe2",
  "functional": "meta-GGA SCAN",
  "state": "single point on PBEsol structure",
  "cell": [[5.886, 0.000, 0.000], [0.000, 11.600, 0.116], [0.000, -0.054, 11.793]],
  "species": ["Na", "Na", "Na", "Na", "Na", "Na", "Na", "Na", "As", "As", "As", "As", "As", "As", "As", "As", "Se", "Se", "Se", "Se", "Se", "Se", "Se", "Se", "Se", "Se", "Se", "Se", "Se", "Se", "Se", "Se"],
  "frac_coords": [[0.987, 0.239, 0.245], [0.013, 0.239, 0.745], [0.502, 0.480, 0.742], [0.498, 0.480, 0.242], [0.479, 0.980, 0.763], [0.521, 0.980, 0.263], [0.529, 0.738, 0.499], [0.471, 0.738, 0.999], [0.542, 0.241, 0.966], [0.458, 0.241, 0.466], [0.921, 0.000, 0.994], [0.079, 0.000, 0.494], [0.933, 0.743, 0.773], [0.067, 0.743, 0.273], [0.979, 0.499, 0.956], [0.021, 0.499, 0.456], [0.996, 0.498, 0.256], [0.004, 0.498, 0.756], [0.578, 0.463, 0.993], [0.422, 0.463, 0.493], [0.514, 0.229, 0.767], [0.486, 0.229, 0.267], [0.979, 0.965, 0.793], [0.021, 0.965, 0.293], [0.972, 0.715, 0.981], [0.028, 0.715, 0.481], [0.535, 0.731, 0.749], [0.465, 0.731, 0.249], [0.958, 0.217, 0.995], [0.042, 0.217, 0.495], [0.479, 0.996, 0.513], [0.521, 0.996, 0.013]],
  "e_form_raw_kj_per_mol_atoms": -62
}



{
  "formula": "NaAsSe2",
  "functional": "meta-GGA SCAN",
  "state": "single point on PBEsol structure",
  "cell": [[5.752, 0.000, 0.000], [0.000, 11.764, 0.000], [0.000, 0.000, 24.128]],
  "species": ["Na", "Na", "Na", "Na", "Na", "Na", "Na", "Na", "Na", "Na", "Na", "Na", "Na", "Na", "Na", "Na", "As", "As", "As", "As", "As", "As", "As", "As", "As", "As", "As", "As", "As", "As", "As", "As", "Se", "Se", "Se", "Se", "Se", "Se", "Se", "Se", "Se", "Se", "Se", "Se", "Se", "Se", "Se", "Se", "Se", "Se", "Se", "Se", "Se", "Se", "Se", "Se", "Se", "Se", "Se", "Se", "Se", "Se", "Se", "Se"],
  "frac_coords": [[0.287, 0.878, 0.250], [0.756, 0.624, 0.499], [0.244, 0.876, 0.999], [0.744, 0.124, 0.501], [0.744, 0.624, 0.999], [0.244, 0.376, 0.501], [0.756, 0.124, 0.001], [0.256, 0.876, 0.499], [0.287, 0.378, 0.250], [0.787, 0.622, 0.250], [0.213, 0.878, 0.750], [0.713, 0.122, 0.750], [0.713, 0.622, 0.750], [0.213, 0.378, 0.750], [0.787, 0.122, 0.250], [0.256, 0.376, 0.001], [0.715, 0.353, 0.389], [0.285, 0.147, 0.889], [0.785, 0.853, 0.611], [0.785, 0.353, 0.889], [0.285, 0.647, 0.611], [0.715, 0.853, 0.111], [0.215, 0.147, 0.389], [0.238, 0.646, 0.860], [0.738, 0.354, 0.640], [0.262, 0.146, 0.140], [0.762, 0.854, 0.360], [0.762, 0.354, 0.140], [0.262, 0.646, 0.360], [0.738, 0.854, 0.860], [0.215, 0.647, 0.111], [0.238, 0.146, 0.640], [0.783, 0.147, 0.374], [0.744, 0.874, 0.015], [0.256, 0.626, 0.515], [0.756, 0.374, 0.985], [0.756, 0.874, 0.515], [0.256, 0.126, 0.985], [0.744, 0.374, 0.485], [0.244, 0.626, 0.015], [0.287, 0.128, 0.237], [0.787, 0.872, 0.263], [0.213, 0.628, 0.763], [0.713, 0.372, 0.737], [0.713, 0.872, 0.763], [0.213, 0.128, 0.737], [0.787, 0.372, 0.237], [0.287, 0.628, 0.263], [0.283, 0.853, 0.126], [0.217, 0.353, 0.874], [0.717, 0.647, 0.626], [0.717, 0.147, 0.874], [0.217, 0.853, 0.626], [0.783, 0.647, 0.126], [0.283, 0.353, 0.374], [0.331, 0.852, 0.376], [0.831, 0.148, 0.124], [0.169, 0.352, 0.624], [0.669, 0.648, 0.876], [0.669, 0.148, 0.624], [0.169, 0.852, 0.876], [0.831, 0.648, 0.376], [0.331, 0.352, 0.124], [0.244, 0.126, 0.485]],
  "e_form_raw_kj_per_mol_atoms": -62
}



{
  "formula": "NaTaAs2Se",
  "functional": "meta-GGA SCAN",
  "state": "single point on PBEsol structure",
  "cell": [[-2.391, 4.125, 1.445], [-2.639, -2.675, 3.272], [3.527, 0.814, 3.510]],
  "species": ["Na", "As", "As", "Se", "Ta"],
  "frac_coords": [[0.500, 0.500, 0.500], [0.000, 0.500, 0.000], [0.500, 0.000, 0.000], [0.000, 0.000, 0.500], [0.000, 0.000, 0.000]],
  "e_form_raw_kj_per_mol_atoms": -20
}



{
  "formula": "NaTcAs2Se",
  "functional": "meta-GGA SCAN",
  "state": "single point on PBEsol structure",
  "cell": [[-0.866, -0.592, -4.535], [-4.087, -1.970, 1.038], [-2.421, 4.927, -0.181]],
  "species": ["Na", "As", "As", "Tc", "Se"],
  "frac_coords": [[0.500, 0.500, 0.500], [0.000, 0.500, 0.000], [0.500, 0.000, 0.000], [0.000, 0.000, 0.000], [0.000, 0.000, 0.500]],
  "e_form_raw_kj_per_mol_atoms": 6
}



{
  "formula": "NaTeAs2Se",
  "functional": "meta-GGA SCAN",
  "state": "single point on PBEsol structure",
  "cell": [[4.878, 0.000, 0.000], [0.000, 5.019, 0.000], [0.000, 0.000, 5.019]],
  "species": ["Na", "As", "As", "Te", "Se"],
  "frac_coords": [[0.000, 0.000, 0.000], [0.000, 0.000, 0.500], [0.000, 0.500, 0.000], [0.500, 0.500, 0.500], [0.500, 0.000, 0.000]],
  "e_form_raw_kj_per_mol_atoms": 98
}



{
  "formula": "NaTlAs2Se",
  "functional": "meta-GGA SCAN",
  "state": "single point on PBEsol structure",
  "cell": [[-2.986, -4.066, 0.193], [3.722, -2.824, -1.912], [1.671, -1.002, 4.733]],
  "species": ["Na", "Tl", "As", "As", "Se"],
  "frac_coords": [[0.000, 0.000, 0.000], [0.500, 0.500, 0.500], [0.000, 0.500, 0.000], [0.500, 0.000, 0.000], [0.000, 0.000, 0.500]],
  "e_form_raw_kj_per_mol_atoms": 68
}



{
  "formula": "NaAsWSe2",
  "functional": "meta-GGA SCAN",
  "state": "single point on PBEsol structure",
  "cell": [[-3.360, 0.303, -3.254], [-2.716, -3.155, 2.511], [-2.028, 3.686, 2.438]],
  "species": ["Na", "As", "Se", "Se", "W"],
  "frac_coords": [[0.000, 0.000, 0.000], [0.500, 0.000, 0.000], [0.000, 0.000, 0.500], [0.000, 0.500, 0.000], [0.500, 0.500, 0.500]],
  "e_form_raw_kj_per_mol_atoms": 161
}



{
  "formula": "NaSi2As2",
  "functional": "meta-GGA SCAN",
  "state": "single point on PBEsol structure",
  "cell": [[4.509, 0.000, 0.000], [0.000, 4.509, 0.000], [-2.255, -2.255, 5.577]],
  "species": ["Na", "As", "As", "Si", "Si"],
  "frac_coords": [[0.000, 0.000, 0.000], [0.351, 0.351, 0.702], [0.649, 0.649, 0.298], [0.250, 0.750, 0.500], [0.750, 0.250, 0.500]],
  "e_form_raw_kj_per_mol_atoms": 17
}



{
  "formula": "Na2Zn3SiAs4",
  "functional": "meta-GGA SCAN",
  "state": "single point on PBEsol structure",
  "cell": [[-1.550, 3.004, 2.201], [-3.372, -4.654, 3.977], [8.273, 0.508, 1.434]],
  "species": ["Na", "Na", "Zn", "Zn", "Zn", "Si", "As", "As", "As", "As"],
  "frac_coords": [[0.489, 0.480, 0.979], [0.995, 0.003, 0.991], [0.200, 0.524, 0.401], [0.321, 0.971, 0.642], [0.816, 0.501, 0.633], [0.686, 0.031, 0.372], [0.375, 0.704, 0.750], [0.848, 0.185, 0.696], [0.631, 0.298, 0.262], [0.132, 0.802, 0.265]],
  "e_form_raw_kj_per_mol_atoms": -34
}